<i>
VASP calculation (PBE) on a geometry-optimized HIr2Pd structure.

a b c (Å): 5.9242 5.9242 5.9242
angles (deg): 90.00 90.00 90.00
With the nearest neighbours (Å) after each atom.
Space group Fm-3m (No. 225)
One atom of each set of equivalent atoms:
H1 0.0000 0.0000 0.0000 (multiplicity 4)  8 Ir 2.57
Ir1 0.2500 0.2500 0.2500 (multiplicity 8)  4 Pd 2.57, 4 H 2.57
Pd1 0.0000 0.0000 0.5000 (multiplicity 4)  8 Ir 2.57

## Properties
Size of the total moment: 0.000 μB/atom
Density: 15.71 g/cm³
Volume: 13.0 Å³/atom

<ii>
VASP calculation (PBE) on a geometry-optimized HIr2Pd structure.

a b c (Å): 6.1429 6.1429 5.1607
angles (deg): 90.00 90.00 90.00
With the nearest neighbours (Å) after each atom.
Space group I-42d (No. 122)
One atom of each set of equivalent atoms:
H1 0.0000 0.0000 0.0000 (multiplicity 4)  4 Ir 1.91
Ir1 0.1523 0.2500 0.1250 (multiplicity 8)  2 H 1.91
Pd1 0.0000 0.0000 0.5000 (multiplicity 4)  2 H 2.58, 8 Ir 2.64-2.71

## Properties
Size of the total moment: 0.000 μB/atom
Density: 16.78 g/cm³
Volume: 12.2 Å³/atom

Result of the stability comparison: <ii> is the most stable of them.

<i>
VASP calculation (PBE) on a geometry-optimized HIr2PdPt structure.

a b c (Å): 3.9769 3.9769 3.9699
angles (deg): 90.00 90.00 90.00
With the nearest neighbours (Å) after each atom.
Space group P4/mmm (No. 123)
One atom of each set of equivalent atoms:
H1 0.0000 0.0000 0.0000 (multiplicity 1)  2 Pt 1.98, 4 Ir 1.99
Ir1 0.0000 0.5000 0.0000 (multiplicity 2)  2 H 1.99
Pd1 0.5000 0.5000 0.5000 (multiplicity 1)  8 Ir 2.81, 4 Pt 2.81
Pt1 0.0000 0.0000 0.5000 (multiplicity 1)  2 H 1.98

## Properties
Size of the total moment: 0.000 μB/atom
Density: 18.17 g/cm³
Volume: 12.6 Å³/atom

<ii>
VASP calculation (PBE) on a geometry-optimized HIr2PdPt structure.

a b c (Å): 3.9610 3.9610 3.9905
angles (deg): 90.00 90.00 90.00
With the nearest neighbours (Å) after each atom.
Space group P4/mmm (No. 123)
One atom of each set of equivalent atoms:
H1 0.0000 0.0000 0.0000 (multiplicity 1)  4 Ir 1.98, 2 Pd 2.00
Ir1 0.0000 0.5000 0.0000 (multiplicity 2)  2 H 1.98
Pd1 0.0000 0.0000 0.5000 (multiplicity 1)  2 H 2.00
Pt1 0.5000 0.5000 0.5000 (multiplicity 1)  4 Pd 2.80, 8 Ir 2.81

## Properties
Size of the total moment: 0.000 μB/atom
Density: 18.22 g/cm³
Volume: 12.5 Å³/atom

Result of the stability comparison: <ii> is the most stable of them.

<i>
VASP calculation (PBE) on a geometry-optimized HIrPd2Rh structure.

a b c (Å): 3.9666 3.9666 3.9243
angles (deg): 90.00 90.00 90.00
With the nearest neighbours (Å) after each atom.
Space group P4/mmm (No. 123)
One atom of each set of equivalent atoms:
H1 0.0000 0.0000 0.0000 (multiplicity 1)  2 Rh 1.96, 4 Pd 1.98
Ir1 0.5000 0.5000 0.5000 (multiplicity 1)  8 Pd 2.79, 4 Rh 2.80
Pd1 0.0000 0.5000 0.0000 (multiplicity 2)  2 H 1.98
Rh1 0.0000 0.0000 0.5000 (multiplicity 1)  2 H 1.96

## Properties
Size of the total moment: 0.000 μB/atom
Density: 13.69 g/cm³
Volume: 12.3 Å³/atom

<ii>
VASP calculation (PBE) on a geometry-optimized HIrPd2Rh structure.

a b c (Å): 3.9895 3.9895 3.8956
angles (deg): 90.00 90.00 90.00
With the nearest neighbours (Å) after each atom.
Space group P4/mmm (No. 123)
One atom of each set of equivalent atoms:
H1 0.0000 0.0000 0.0000 (multiplicity 1)  2 Ir 1.95, 4 Pd 1.99
Ir1 0.0000 0.0000 0.5000 (multiplicity 1)  2 H 1.95
Pd1 0.0000 0.5000 0.0000 (multiplicity 2)  2 H 1.99
Rh1 0.5000 0.5000 0.5000 (multiplicity 1)  8 Pd 2.79, 4 Ir 2.82

## Properties
Size of the total moment: 0.000 μB/atom
Density: 13.63 g/cm³
Volume: 12.4 Å³/atom

Result of the stability comparison: <i> is the most stable of them.

<i>
VASP calculation (PBE) on a geometry-optimized HIrPd2Ru structure.

a b c (Å): 3.9594 3.9594 3.9116
angles (deg): 90.00 90.00 90.00
With the nearest neighbours (Å) after each atom.
Space group P4/mmm (No. 123)
One atom of each set of equivalent atoms:
H1 0.0000 0.0000 0.0000 (multiplicity 1)  2 Ru 1.96, 4 Pd 1.98
Ir1 0.5000 0.5000 0.5000 (multiplicity 1)  8 Pd 2.78, 4 Ru 2.80
Pd1 0.0000 0.5000 0.0000 (multiplicity 2)  2 H 1.98
Ru1 0.0000 0.0000 0.5000 (multiplicity 1)  2 H 1.96

## Properties
Size of the total moment: 0.000 μB/atom
Density: 13.73 g/cm³
Volume: 12.3 Å³/atom

<ii>
VASP calculation (PBE) on a geometry-optimized HIrPd2Ru structure.

a b c (Å): 4.9279 4.9279 4.6188
angles (deg): 90.00 90.00 90.00
With the nearest neighbours (Å) after each atom.
Space group P4/mmm (No. 123)
One atom of each set of equivalent atoms:
H1 0.0000 0.0000 0.0000 (multiplicity 1)  8 Pd 3.38, 4 Ru 3.48
Ir1 0.5000 0.5000 0.5000 (multiplicity 1)  2 Ru 2.31, 4 Pd 2.46
Pd1 0.0000 0.5000 0.5000 (multiplicity 2)  2 Ir 2.46
Ru1 0.5000 0.5000 0.0000 (multiplicity 1)  2 Ir 2.31

## Properties
Size of the total moment: 0.335 μB/atom
Density: 7.51 g/cm³
Volume: 22.4 Å³/atom

Result of the stability comparison: <i> is the most stable of them.